# 1
! Sr2ZnSbAs | the Open Quantum Materials Database | PBE | optimized geometry; values from VASP
&SYSTEM
  ibrav = 0, nat = 10, ntyp = 4
/
ATOMIC_SPECIES
Sr 87.62 Sr.upf
As 74.92 As.upf
Zn 65.41 Zn.upf
Sb 121.76 Sb.upf
ATOMIC_POSITIONS angstrom
Sr 4.3702 -3.1374 -3.9768
Sr -0.4299 -7.0273 5.6947
Sr -5.6025 -3.7843 5.8982
Sr 7.6587 -4.2246 -5.4457
As 0.1464 -3.9461 0.9406
As 3.7969 -6.2220 0.7793
Zn 2.6058 -4.3650 -0.6997
Zn -1.7848 -2.2305 0.3227
Sb 7.1101 -5.8511 -2.7159
Sb -2.7745 -4.7659 4.6993
CELL_PARAMETERS angstrom
-6.8176 -2.7157 5.5244
4.6988 -0.5161 -7.8758
4.4533 -5.0956 2.9909
! Offset from the most stable computed form = 0.004 eV/atom


# 2
! TaSbAs | the Open Quantum Materials Database | PBE | optimized geometry; values from VASP
&SYSTEM
  ibrav = 0, nat = 3, ntyp = 3
/
ATOMIC_SPECIES
As 74.92 As.upf
Ta 180.95 Ta.upf
Sb 121.76 Sb.upf
ATOMIC_POSITIONS angstrom
As 0.0000 0.0000 0.0000
Ta 3.1283 -2.6003 7.3473
Sb 1.0428 -0.8668 2.4491
CELL_PARAMETERS angstrom
2.1441 1.3126 3.8181
-1.0048 -1.9970 3.9875
3.0318 -2.7826 1.9908
! Offset from the most stable computed form = 0.313 eV/atom


# 3
! Tb3Sb2As | the Open Quantum Materials Database | PBE | optimized geometry; values from VASP
&SYSTEM
  ibrav = 0, nat = 6, ntyp = 3
/
ATOMIC_SPECIES
Tb 158.93 Tb.upf
As 74.92 As.upf
Sb 121.76 Sb.upf
ATOMIC_POSITIONS angstrom
Tb -7.8141 3.7715 3.4822
Tb -3.8349 3.3475 1.5264
Tb -2.7807 -0.1692 -0.9956
As 0.0000 0.0000 0.0000
Sb -3.8180 0.2833 1.8916
Sb -6.7768 3.3190 0.5950
CELL_PARAMETERS angstrom
-1.9229 -0.4649 -3.8114
-1.0020 -2.6277 3.2452
-7.6699 6.6950 3.0528
! Electronic total energy = -34.37 eV/cell


# 4
! ThSbAs | the Open Quantum Materials Database | PBE | optimized geometry; values from VASP
&SYSTEM
  ibrav = 0, nat = 3, ntyp = 3
/
ATOMIC_SPECIES
As 74.92 As.upf
Sb 121.76 Sb.upf
Th 232.04 Th.upf
ATOMIC_POSITIONS angstrom
As 0.0000 0.0000 0.0000
Sb 5.3712 5.3712 5.3712
Th 3.5808 3.5808 3.5808
CELL_PARAMETERS angstrom
0.0000 3.5808 3.5808
3.5808 0.0000 3.5808
3.5808 3.5808 0.0000
! Electronic total energy = -16.61 eV/cell


# 5
! Th2SbAs | the Open Quantum Materials Database | PBE | optimized geometry; values from VASP
&SYSTEM
  ibrav = 0, nat = 4, ntyp = 3
/
ATOMIC_SPECIES
Sb 121.76 Sb.upf
Th 232.04 Th.upf
As 74.92 As.upf
ATOMIC_POSITIONS angstrom
Sb -6.7797 -5.3161 6.5627
Th -10.0567 -7.8857 9.7347
Th -3.5027 -2.7466 3.3906
As 0.0000 0.0000 0.0000
CELL_PARAMETERS angstrom
-5.4589 -4.7870 2.3981
-2.5575 -4.4872 5.6383
-5.5430 -1.3579 5.0890
! Electronic total energy = -28.23 eV/cell


# 6
! TmSbAs | the Open Quantum Materials Database | PBE | optimized geometry; values from VASP
&SYSTEM
  ibrav = 0, nat = 3, ntyp = 3
/
ATOMIC_SPECIES
As 74.92 As.upf
Tm 168.93 Tm.upf
Sb 121.76 Sb.upf
ATOMIC_POSITIONS angstrom
As -2.2971 -1.6713 1.0539
Tm 0.0000 0.0000 0.0000
Sb -6.8912 -5.0141 3.1616
CELL_PARAMETERS angstrom
-1.4532 -3.0442 3.6198
-4.6798 0.1182 1.6023
-3.0553 -3.7595 -1.0066
! Offset from the most stable computed form = 0.000 eV/atom


# 7
! Tm3SbAs2 | the Open Quantum Materials Database | PBE | optimized geometry; values from VASP
&SYSTEM
  ibrav = 0, nat = 6, ntyp = 3
/
ATOMIC_SPECIES
Sb 121.76 Sb.upf
As 74.92 As.upf
Tm 168.93 Tm.upf
ATOMIC_POSITIONS angstrom
Sb 0.0000 0.0000 0.0000
As 0.0000 2.3832 3.4819
As 2.0639 1.1916 6.7660
Tm 0.0000 2.3832 8.3723
Tm 0.0000 0.0000 5.1240
Tm 2.0639 1.1916 1.8756
CELL_PARAMETERS angstrom
4.1277 0.0000 0.0000
-2.0639 3.5747 0.0000
0.0000 0.0000 10.2479
! Electronic total energy = -34.90 eV/cell


# 8
! TmSbAs | the Open Quantum Materials Database | PBE | optimized geometry; values from VASP
&SYSTEM
  ibrav = 0, nat = 3, ntyp = 3
/
ATOMIC_SPECIES
Sb 121.76 Sb.upf
As 74.92 As.upf
Tm 168.93 Tm.upf
ATOMIC_POSITIONS angstrom
Sb 0.6814 1.3698 2.5505
As 0.0000 0.0000 0.0000
Tm 2.0441 4.1095 7.6515
CELL_PARAMETERS angstrom
1.9160 -0.5816 4.4249
2.6016 3.5755 2.0089
-1.7922 2.4855 3.7682
! Offset from the most stable computed form = 0.019 eV/atom


# 9
! Tm3Sb2As | the Open Quantum Materials Database | PBE | optimized geometry; values from VASP
&SYSTEM
  ibrav = 0, nat = 6, ntyp = 3
/
ATOMIC_SPECIES
As 74.92 As.upf
Sb 121.76 Sb.upf
Tm 168.93 Tm.upf
ATOMIC_POSITIONS angstrom
As 0.0000 0.0000 0.0000
Sb -2.3125 2.3254 2.6285
Sb -4.6941 5.6706 1.1536
Tm -1.7844 4.8197 0.9791
Tm -4.1728 7.3501 3.6493
Tm -2.8338 0.6459 0.1328
CELL_PARAMETERS angstrom
-3.4404 -0.8032 -2.3161
0.0026 -0.8401 4.1401
-3.5688 9.6393 1.9582
! Electronic total energy = -33.49 eV/cell


# 10
! USbAs2 | the Open Quantum Materials Database | PBE | optimized geometry; values from VASP
&SYSTEM
  ibrav = 0, nat = 8, ntyp = 3
/
ATOMIC_SPECIES
As 74.92 As.upf
Sb 121.76 Sb.upf
U 238.03 U.upf
ATOMIC_POSITIONS angstrom
As 2.0438 -2.3714 8.6538
As 2.0438 2.3714 1.6561
As 2.0438 -2.3714 12.3394
As 2.0438 2.3714 5.3416
Sb 2.0438 -2.3329 3.4989
Sb 2.0438 2.3329 10.4966
U 2.0438 0.0000 6.9977
U 2.0438 0.0000 0.0000
CELL_PARAMETERS angstrom
2.0438 -3.5687 0.0000
2.0438 3.5687 0.0000
0.0000 0.0000 13.9954
! Electronic total energy = -50.19 eV/cell


# 11
! ZnSbAs | the Open Quantum Materials Database | PBE | optimized geometry; values from VASP
&SYSTEM
  ibrav = 0, nat = 3, ntyp = 3
/
ATOMIC_SPECIES
As 74.92 As.upf
Sb 121.76 Sb.upf
Zn 65.41 Zn.upf
ATOMIC_POSITIONS angstrom
As 0.0000 0.0000 0.0000
Sb 5.0746 5.0746 5.0746
Zn 3.3830 3.3830 3.3830
CELL_PARAMETERS angstrom
0.0000 3.3830 3.3830
3.3830 0.0000 3.3830
3.3830 3.3830 0.0000
! Offset from the most stable computed form = 0.039 eV/atom


# 12
! Zr5Sb3As | the Open Quantum Materials Database | PBE | optimized geometry; values from VASP
&SYSTEM
  ibrav = 0, nat = 18, ntyp = 3
/
ATOMIC_SPECIES
Zr 91.22 Zr.upf
Sb 121.76 Sb.upf
As 74.92 As.upf
ATOMIC_POSITIONS angstrom
Zr 1.7994 -3.9982 3.8193
Zr 4.7337 -4.1392 1.8152
Zr 4.7774 -1.3895 -0.4395
Zr 5.2485 -0.6713 2.4111
Zr 2.3142 -0.5303 4.4151
Zr 1.3283 -4.7164 0.9687
Zr 2.4014 0.8692 0.9388
Zr -0.3228 -1.7586 2.0511
Zr -0.8557 -4.8484 6.0269
Zr 6.7672 2.5046 2.9146
Sb 2.6497 -2.0551 1.6345
Sb -0.1319 -2.1030 5.2156
Sb 5.2093 1.5305 0.3081
Sb 4.3982 -2.6144 4.5958
Sb 3.9593 1.8433 3.5452
Sb -1.0467 -4.5040 2.8624
As 0.4711 0.7182 2.8505
As 0.0000 0.0000 0.0000
CELL_PARAMETERS angstrom
-2.1207 -8.0433 2.3769
8.2264 1.9374 -1.8477
0.9422 1.4363 5.7011
! Electronic total energy = -134.49 eV/cell


Density, record by record: 4.87 9.28 7.78 7.75 9.23 7.09 8.55 7.49 8.47 8.29 5.62 7.71 g cm⁻³